(A)
SrAg3Br: optimized geometry, PBE.

Unit cell a=5.3966 b=5.3966 c=5.3966 alpha=90.00 beta=90.00 gamma=90.00
Element x y z (fractional)
1 Sr 0.0000 0.0000 0.0000
2 Ag 0.0000 0.5000 0.5000
3 Ag 0.5000 0.0000 0.5000
4 Ag 0.5000 0.5000 0.0000
5 Br 0.5000 0.5000 0.5000

Computed properties:
Space-group type: Pm-3m

=====

(B)
SrAg3Br: optimized geometry, PBE.

Unit cell a=5.9507 b=5.9507 c=5.9507 alpha=90.00 beta=90.00 gamma=90.00
Element x y z (fractional)
1 Sr 0.0000 0.0000 0.0000
2 Ag 0.0000 0.0000 0.5000
3 Ag 0.0000 0.5000 0.0000
4 Ag 0.5000 0.0000 0.0000
5 Br 0.5000 0.5000 0.5000

Computed properties:
Space-group type: Pm-3m

=====

Here is how they stack up, most stable first: (A), (B).

=====

(A)
SrAgBr2: optimized geometry, PBE.

Unit cell a=4.3924 b=4.3924 c=9.5817 alpha=90.26 beta=90.26 gamma=60.26
Element x y z (fractional)
1 Sr 0.0000 0.0000 0.0000
2 Ag 0.5000 0.5000 0.5000
3 Br 0.3337 0.3337 0.8245
4 Br 0.6663 0.6663 0.1755

Computed properties:
Space-group type: C2/m

=====

(B)
SrAgBr2: optimized geometry, PBE.

Unit cell a=5.0907 b=5.0907 c=4.1608 alpha=90.50 beta=90.50 gamma=89.99
Element x y z (fractional)
1 Sr 0.0000 0.0000 0.0000
2 Ag 0.5000 0.5000 0.0000
3 Br 0.0000 0.5000 0.5000
4 Br 0.5000 0.0000 0.5000

Computed properties:
Space-group type: C2/m

=====

Here is how they stack up, most stable first: (A), (B).

=====

(A)
SrAgBr4: optimized geometry, PBE.

Unit cell a=6.4596 b=6.4596 c=6.4596 alpha=60.00 beta=60.00 gamma=60.00
Element x y z (fractional)
1 Sr 0.0000 0.0000 0.0000
2 Ag 0.7500 0.7500 0.7500
3 Br 0.3756 0.3756 0.3756
4 Br 0.3756 0.3756 0.8731
5 Br 0.3756 0.8731 0.3756
6 Br 0.8731 0.3756 0.3756

Computed properties:
Space-group type: F-43m

=====

(B)
SrAgBr4: optimized geometry, PBE.

Unit cell a=8.5623 b=8.5623 c=7.5579 alpha=115.22 beta=115.22 gamma=52.32
Element x y z (fractional)
1 Sr 0.2446 0.7554 0.7500
2 Sr 0.7554 0.2446 0.2500
3 Ag 0.0000 0.5000 0.0000
4 Ag 0.5000 0.0000 0.5000
5 Br 0.0526 0.1899 0.6862
6 Br 0.1899 0.0526 0.1862
7 Br 0.3158 0.4623 0.9653
8 Br 0.4623 0.3158 0.4653
9 Br 0.5377 0.6842 0.5347
10 Br 0.6842 0.5377 0.0347
11 Br 0.8101 0.9474 0.8138
12 Br 0.9474 0.8101 0.3138

Computed properties:
Space-group type: C2/c

=====

Here is how they stack up, most stable first: (B), (A).